{"formula": "AsN", "functional": "GGA-PBE", "state": "relaxed", "lattice_angstrom": [[0.000, 2.299, 2.299], [2.299, 0.000, 2.299], [2.299, 2.299, 0.000]], "species": ["As", "N"], "fractional_positions": [[0.000, 0.000, 0.000], [0.500, 0.500, 0.500]], "formation_energy_uncorrected_ev_per_atom": 0.971, "final_energy_ev_per_cell": -11.03}